[1]
This record from Alexandria describes a geometry-optimized K3AgH structure. The functional is PBE.

Geometry as POSCAR:
```
K3AgH
1.0
-0.143 -0.048 -5.492
-3.023 -4.587 0.119
-4.586 3.025 0.093
H K Ag
1 3 1
direct
0.000 0.000 0.000 H
0.000 0.500 0.000 K
0.000 0.000 0.500 K
0.500 0.000 0.000 K
0.500 0.500 0.500 Ag
```

distance to the lowest polymorph of the same formula = 0 meV/atom
E = -1.901 eV/atom
volume = 165.9 Å³ per cell



[2]
This record from Alexandria describes a geometry-optimized CdTcBr2 structure. The functional is PBE.

Geometry as POSCAR:
```
CdTcBr2
1.0
10.216 -0.027 -0.016
9.586 3.534 -0.016
9.586 1.697 3.099
Cd Br Tc
1 2 1
direct
0.250 0.250 0.250 Cd
0.033 0.033 0.033 Br
0.467 0.467 0.467 Br
0.750 0.750 0.750 Tc
```

distance to the lowest polymorph of the same formula = 141 meV/atom
E = -3.488 eV/atom
formation energy (no corrections) = 0.169 eV/atom
volume = 113.3 Å³ per cell



[3]
This record from Alexandria describes a geometry-optimized La2DyAl3Ga6 structure. The functional is PBE.

Geometry as POSCAR:
```
La2DyAl3Ga6
1.0
-2.620 3.348 -0.021
-2.722 -2.115 2.489
7.880 6.254 13.931
Al La Ga Dy
3 2 6 1
direct
0.000 0.000 0.000 Al
0.000 0.000 0.281 Al
0.000 0.000 0.719 Al
0.500 0.500 0.785 La
0.500 0.500 0.215 La
0.000 0.000 0.139 Ga
0.000 0.000 0.861 Ga
0.500 0.000 0.626 Ga
0.000 0.500 0.626 Ga
0.000 0.500 0.374 Ga
0.500 0.000 0.374 Ga
0.500 0.500 0.500 Dy
```

E = -3.853 eV/atom
formation energy = -199.2 meV/atom
volume = 310.6 Å³ per cell



[4]
This record from Alexandria describes a geometry-optimized Na16Cd12Pd structure. The functional is PBE.

Geometry as POSCAR:
```
Na16Cd12Pd
1.0
9.362 0.131 -3.257
-4.508 8.206 -3.257
0.071 0.122 9.994
Cd Na Pd
12 16 1
direct
0.820 0.636 0.630 Cd
0.369 0.000 0.179 Cd
0.177 0.795 0.819 Cd
0.795 0.177 0.819 Cd
0.636 0.820 0.630 Cd
0.338 0.156 0.969 Cd
0.999 0.185 0.354 Cd
0.185 0.999 0.354 Cd
0.156 0.338 0.969 Cd
0.000 0.369 0.179 Cd
0.817 0.817 0.204 Cd
0.654 0.654 0.840 Cd
0.289 0.582 0.592 Na
0.995 0.635 0.005 Na
0.300 0.300 0.704 Na
0.001 0.680 0.411 Na
0.989 0.403 0.675 Na
0.710 0.328 0.306 Na
0.657 0.432 0.028 Na
0.996 0.996 0.002 Na
0.392 0.392 0.319 Na
0.582 0.289 0.592 Na
0.635 0.995 0.005 Na
0.403 0.989 0.675 Na
0.432 0.657 0.028 Na
0.680 0.001 0.411 Na
0.328 0.710 0.306 Na
0.986 0.986 0.633 Na
0.678 0.678 0.362 Pd
```

E = -1.380 eV/atom
formation energy = -94.3 meV/atom
volume = 781.1 Å³ per cell